(1)
Below is YRe2Hg after structural relaxation, with properties calculated at the PBE-GGA level.

a = 10.012 Å, b = 3.827 Å, c = 4.866 Å
α = 90.00°, β = 112.22°, γ = 90.00°
Space group C2/m (No. 12)
Symmetry-distinct sites (fractional):
Y1 0.000 0.000 0.000 x2
Re1 0.240 0.000 0.641 x4
Hg1 0.000 0.500 0.500 x2

theoretical density: 12.74 Mg/m³
M_tot: 0.00 μB/cell
N(E_F): 6.960 states/eV/cell
V: 172.55 Å³ per cell
calculated formation energy: 435 meV per atom

***

(2)
Below is Y2ReHg after structural relaxation, with properties calculated at the PBE-GGA level.

a = 7.041 Å, b = 7.041 Å, c = 7.041 Å
α = 90.00°, β = 90.00°, γ = 90.00°
Space group F-43m (No. 216)
Symmetry-distinct sites (fractional):
Y1 0.000 0.000 0.000 x4
Y2 0.250 0.250 0.250 x4
Re1 0.250 0.250 0.750 x4
Hg1 0.000 0.000 0.500 x4

theoretical density: 10.75 Mg/m³
M_tot: 0.00 μB/cell
N(E_F): 18.563 states/eV/cell
V: 348.99 Å³ per cell
calculated formation energy: 348 meV per atom

***

(3)
Below is YRe2Hg after structural relaxation, with properties calculated at the PBE-GGA level.

a = 3.579 Å, b = 3.579 Å, c = 6.253 Å
α = 90.00°, β = 90.00°, γ = 90.00°
Space group P4/mmm (No. 123)
Symmetry-distinct sites (fractional):
Y1 0.000 0.000 0.000 x1
Re1 0.500 0.500 0.303 x2
Hg1 0.000 0.000 0.500 x1

theoretical density: 13.72 Mg/m³
M_tot: 0.10 μB/cell
N(E_F): 3.906 states/eV/cell
V: 80.10 Å³ per cell
calculated formation energy: 749 meV per atom

***

(4)
Below is Y2ReHg after structural relaxation, with properties calculated at the PBE-GGA level.

a = 4.364 Å, b = 4.364 Å, c = 9.433 Å
α = 90.00°, β = 90.00°, γ = 90.00°
Space group I-4m2 (No. 119)
Symmetry-distinct sites (fractional):
Y1 0.000 0.000 0.000 x2
Y2 0.000 0.500 0.250 x2
Re1 0.000 0.000 0.500 x2
Hg1 0.000 0.500 0.750 x2

theoretical density: 10.44 Mg/m³
M_tot: 0.00 μB/cell
N(E_F): 8.227 states/eV/cell
V: 179.65 Å³ per cell
calculated formation energy: 188 meV per atom

***

(5)
Below is Y2ReHg after structural relaxation, with properties calculated at the PBE-GGA level.

a = 3.485 Å, b = 3.527 Å, c = 7.579 Å
α = 90.00°, β = 90.05°, γ = 90.00°
Space group P2/m (No. 10)
Symmetry-distinct sites (fractional):
Y1 0.002 0.000 0.281 x2
Re1 0.500 0.500 0.500 x1
Hg1 0.500 0.500 0.000 x1

theoretical density: 10.06 Mg/m³
M_tot: 0.00 μB/cell
N(E_F): 4.549 states/eV/cell
V: 93.19 Å³ per cell
calculated formation energy: -108 meV per atom

***

(6)
Below is YReHg4 after structural relaxation, with properties calculated at the PBE-GGA level.

a = 8.027 Å, b = 8.027 Å, c = 8.027 Å
α = 90.00°, β = 90.00°, γ = 90.00°
Space group F-43m (No. 216)
Symmetry-distinct sites (fractional):
Y1 0.000 0.000 0.000 x4
Re1 0.250 0.250 0.250 x4
Hg1 0.124 0.124 0.624 x16

theoretical density: 13.84 Mg/m³
M_tot: 0.00 μB/cell
N(E_F): 18.060 states/eV/cell
V: 517.16 Å³ per cell
calculated formation energy: 508 meV per atom

***

(7)
Below is YRe2Hg2 after structural relaxation, with properties calculated at the PBE-GGA level.

a = 8.169 Å, b = 8.169 Å, c = 3.041 Å
α = 90.00°, β = 90.00°, γ = 90.00°
Space group P4/mbm (No. 127)
Symmetry-distinct sites (fractional):
Y1 0.000 0.000 0.000 x2
Re1 0.102 0.398 0.000 x4
Hg1 0.189 0.689 0.500 x4

theoretical density: 14.11 Mg/m³
M_tot: 0.14 μB/cell
N(E_F): 7.033 states/eV/cell
V: 202.97 Å³ per cell
calculated formation energy: 591 meV per atom

***

(8)
Below is YRe2Hg after structural relaxation, with properties calculated at the PBE-GGA level.

a = 2.837 Å, b = 2.837 Å, c = 9.364 Å
α = 90.00°, β = 90.00°, γ = 90.00°
Space group P4/mmm (No. 123)
Symmetry-distinct sites (fractional):
Y1 0.000 0.000 0.000 x1
Re1 0.500 0.500 0.259 x2
Hg1 0.000 0.000 0.500 x1

theoretical density: 14.58 Mg/m³
M_tot: 0.00 μB/cell
N(E_F): 4.743 states/eV/cell
V: 75.36 Å³ per cell
calculated formation energy: 852 meV per atom

***

(9)
Below is YRe2Hg after structural relaxation, with properties calculated at the PBE-GGA level.

a = 2.9921 Å, b = 2.9921 Å, c = 29.5998 Å
α = 90.00°, β = 90.00°, γ = 120.00°
Space group R3m (No. 160, hexagonal axes)
Symmetry-distinct sites (fractional):
Y1 0.0000 0.0000 0.0000 x3
Re1 0.0000 0.0000 0.2466 x3
Re2 0.0000 0.0000 0.5130 x3
Hg1 0.0000 0.0000 0.7609 x3

theoretical density: 14.37 Mg/m³
M_tot: 0.00 μB/cell
N(E_F): 6.220 states/eV/cell
V: 229.50 Å³ per cell
calculated formation energy: 426 meV per atom

***

(10)
Below is YRe2Hg after structural relaxation, with properties calculated at the PBE-GGA level.

a = 3.016 Å, b = 4.993 Å, c = 5.201 Å
α = 90.00°, β = 93.73°, γ = 90.00°
Space group P2/m (No. 10)
Symmetry-distinct sites (fractional):
Y1 0.000 0.000 0.000 x1
Re1 0.351 0.500 0.779 x2
Hg1 0.500 0.000 0.500 x1

theoretical density: 14.06 Mg/m³
M_tot: 0.00 μB/cell
N(E_F): 2.814 states/eV/cell
V: 78.15 Å³ per cell
calculated formation energy: 539 meV per atom

***

(11)
Below is Y2ReHg after structural relaxation, with properties calculated at the PBE-GGA level.

a = 3.3766 Å, b = 3.3766 Å, c = 29.8115 Å
α = 90.00°, β = 90.00°, γ = 120.00°
Space group R3m (No. 160, hexagonal axes)
Symmetry-distinct sites (fractional):
Y1 0.0000 0.0000 0.0000 x3
Y2 0.0000 0.0000 0.2255 x3
Re1 0.0000 0.0000 0.7355 x3
Hg1 0.0000 0.0000 0.4742 x3

theoretical density: 9.56 Mg/m³
M_tot: 1.27 μB/cell
N(E_F): 15.577 states/eV/cell
V: 294.36 Å³ per cell
calculated formation energy: 484 meV per atom

***

(12)
Below is Y2ReHg after structural relaxation, with properties calculated at the PBE-GGA level.

a = 5.008 Å, b = 5.008 Å, c = 3.624 Å
α = 90.00°, β = 90.00°, γ = 90.00°
Space group P4/mmm (No. 123)
Symmetry-distinct sites (fractional):
Y1 0.000 0.500 0.000 x2
Re1 0.000 0.000 0.500 x1
Hg1 0.500 0.500 0.500 x1

theoretical density: 10.32 Mg/m³
M_tot: 0.00 μB/cell
N(E_F): 5.028 states/eV/cell
V: 90.89 Å³ per cell
calculated formation energy: 21 meV per atom

***

(13)
Below is YRe2Hg after structural relaxation, with properties calculated at the PBE-GGA level.

a = 2.9165 Å, b = 2.9165 Å, c = 30.4325 Å
α = 90.00°, β = 90.00°, γ = 120.00°
Space group R-3m (No. 166, hexagonal axes)
Symmetry-distinct sites (fractional):
Y1 0.0000 0.0000 0.0000 x3
Re1 0.0000 0.0000 0.2466 x6
Hg1 0.0000 0.0000 0.5000 x3

theoretical density: 14.71 Mg/m³
M_tot: 0.00 μB/cell
N(E_F): 16.215 states/eV/cell
V: 224.18 Å³ per cell
calculated formation energy: 881 meV per atom

***

(14)
Below is YRe4Hg after structural relaxation, with properties calculated at the PBE-GGA level.

a = 7.574 Å, b = 7.574 Å, c = 7.574 Å
α = 90.00°, β = 90.00°, γ = 90.00°
Space group F-43m (No. 216)
Symmetry-distinct sites (fractional):
Y1 0.000 0.000 0.000 x4
Re1 0.125 0.125 0.375 x16
Hg1 0.250 0.250 0.750 x4

theoretical density: 15.81 Mg/m³
M_tot: 0.00 μB/cell
N(E_F): 12.928 states/eV/cell
V: 434.57 Å³ per cell
calculated formation energy: 233 meV per atom

***

(15)
Below is YRe2Hg after structural relaxation, with properties calculated at the PBE-GGA level.

a = 3.143 Å, b = 3.143 Å, c = 7.949 Å
α = 90.00°, β = 90.00°, γ = 90.00°
Space group P4mm (No. 99)
Symmetry-distinct sites (fractional):
Y1 0.000 0.000 0.000 x1
Re1 0.000 0.000 0.563 x1
Re2 0.500 0.500 0.732 x1
Hg1 0.500 0.500 0.300 x1

theoretical density: 14.00 Mg/m³
M_tot: 0.00 μB/cell
N(E_F): 3.464 states/eV/cell
V: 78.53 Å³ per cell
calculated formation energy: 104 meV per atom

***

(16)
Below is YRe2Hg2 after structural relaxation, with properties calculated at the PBE-GGA level.

a = 4.402 Å, b = 4.402 Å, c = 11.417 Å
α = 90.00°, β = 90.00°, γ = 90.00°
Space group I4/mmm (No. 139)
Symmetry-distinct sites (fractional):
Y1 0.000 0.000 0.000 x2
Re1 0.000 0.000 0.403 x4
Hg1 0.000 0.500 0.250 x4

theoretical density: 12.95 Mg/m³
M_tot: 0.00 μB/cell
N(E_F): 9.677 states/eV/cell
V: 221.21 Å³ per cell
calculated formation energy: 485 meV per atom

***

(17)
Below is YRe2Hg after structural relaxation, with properties calculated at the PBE-GGA level.

a = 6.687 Å, b = 6.687 Å, c = 6.687 Å
α = 90.00°, β = 90.00°, γ = 90.00°
Space group F-43m (No. 216)
Symmetry-distinct sites (fractional):
Y1 0.000 0.000 0.000 x4
Re1 0.000 0.000 0.500 x4
Re2 0.250 0.250 0.250 x4
Hg1 0.250 0.250 0.750 x4

theoretical density: 14.70 Mg/m³
M_tot: 0.00 μB/cell
N(E_F): 8.974 states/eV/cell
V: 299.03 Å³ per cell
calculated formation energy: 511 meV per atom

***

(18)
Below is YRe3Hg after structural relaxation, with properties calculated at the PBE-GGA level.

a = 4.869 Å, b = 4.869 Å, c = 4.869 Å
α = 90.00°, β = 90.00°, γ = 90.00°
Space group Pm-3m (No. 221)
Symmetry-distinct sites (fractional):
Y1 0.000 0.000 0.000 x1
Re1 0.000 0.000 0.500 x3
Hg1 0.500 0.500 0.500 x1

theoretical density: 12.20 Mg/m³
M_tot: 2.42 μB/cell
N(E_F): 5.211 states/eV/cell
V: 115.41 Å³ per cell
calculated formation energy: 3062 meV per atom

***

(19)
Below is YRe2Hg after structural relaxation, with properties calculated at the PBE-GGA level.

a = 3.790 Å, b = 4.813 Å, c = 8.812 Å
α = 90.00°, β = 90.00°, γ = 90.00°
Space group Imm2 (No. 44)
Symmetry-distinct sites (fractional):
Y1 0.000 0.000 0.000 x2
Re1 0.000 0.000 0.458 x2
Re2 0.000 0.500 0.781 x2
Hg1 0.000 0.500 0.220 x2

theoretical density: 13.68 Mg/m³
M_tot: 0.00 μB/cell
N(E_F): 5.988 states/eV/cell
V: 160.74 Å³ per cell
calculated formation energy: 365 meV per atom

***

(20)
Below is Y2ReHg after structural relaxation, with properties calculated at the PBE-GGA level.

a = 3.940 Å, b = 3.940 Å, c = 6.189 Å
α = 90.00°, β = 90.00°, γ = 90.00°
Space group P4mm (No. 99)
Symmetry-distinct sites (fractional):
Y1 0.000 0.000 0.000 x1
Y2 0.500 0.500 0.330 x1
Re1 0.500 0.500 0.840 x1
Hg1 0.000 0.000 0.535 x1

theoretical density: 9.76 Mg/m³
M_tot: 0.00 μB/cell
N(E_F): 4.351 states/eV/cell
V: 96.06 Å³ per cell
calculated formation energy: 286 meV per atom

***

no.,energy (eV/cell)
1,-59.85
2,-97.15
3,-28.67
4,-49.85
5,-26.11
6,-68.28
7,-58.02
8,-28.25
9,-89.87
10,-29.51
11,-71.22
12,-25.60
13,-84.42
14,-220.63
15,-31.25
16,-59.08
17,-118.47
18,-28.80
19,-60.41
20,-24.53